Below is a geometry-optimized In2ReTe structure, with properties calculated at the GGA-PBE level.

Summary:
V, Å³/cell: 366
Formation energy from raw total energies, meV per atom: 800.8

Unit cell a=4.1778 b=4.1778 c=20.9467 alpha=90.00 beta=90.00 gamma=90.00
Space group I-42d (No. 122)
One atom of each set of equivalent atoms:
In 0.2346 0.2500 0.1250 x8
Re 0.0000 0.0000 0.0000 x4
Te 0.0000 0.0000 0.5000 x4